Record 1
4
Lattice="-0.276 2.190 2.067 -2.985 0.078 -0.481 -0.931 -4.834 4.997" Properties=species:S:1:pos:R:3 comment="YBePt2 PBE-GGA relaxed" formation_energy_ev_per_atom=-0.7597 pbc="T T T"
Y -1.863 -0.075 2.042
Be -2.329 -2.491 4.541
Pt -0.883 -4.583 4.738
Pt -0.514 -2.668 2.758


Record 2
8
Lattice="5.277 0.000 2.618 -1.299 5.115 2.617 0.375 0.482 5.872" Properties=species:S:1:pos:R:3 comment="Y2BePt5 PBE-GGA relaxed" formation_energy_ev_per_atom=-1.0142 pbc="T T T"
Y 0.535 4.080 5.549
Y 3.823 1.523 5.549
Be 3.849 4.949 5.495
Pt 3.317 4.265 9.717
Pt 3.934 1.835 8.473
Pt 0.810 4.265 8.473
Pt 1.427 1.835 7.230
Pt 1.188 1.527 4.233


Record 3
6
Lattice="0.980 1.764 4.270 -3.298 2.405 2.375 -1.987 -1.886 3.847" Properties=species:S:1:pos:R:3 comment="YBe4Pt PBE-GGA relaxed" formation_energy_ev_per_atom=-0.2700 pbc="T T T"
Y 0.000 0.000 0.000
Be -1.139 1.730 6.058
Be -2.601 -0.070 5.849
Be -3.248 2.046 5.124
Be -1.622 0.860 3.953
Pt -3.229 1.712 7.869


Record 4
4
Lattice="3.205 0.000 0.000 0.000 3.212 0.081 0.000 2.389 6.553" Properties=species:S:1:pos:R:3 comment="YBePt2 PBE-GGA relaxed" formation_energy_ev_per_atom=-0.7530 pbc="T T T"
Y 1.602 1.400 1.659
Be 1.602 4.201 4.976
Pt 0.000 5.450 6.322
Pt 0.000 2.952 3.630


Record 5
6
Lattice="-0.907 -3.673 1.457 1.976 0.351 -3.522 6.721 -0.171 3.753" Properties=species:S:1:pos:R:3 comment="YBePt PBE-GGA relaxed" formation_energy_ev_per_atom=-0.8599 e_above_lowest_polymorph_ev_per_atom=0.001 pbc="T T T"
Y 4.348 0.090 0.115
Y 0.988 0.176 -1.761
Be 5.068 -1.293 2.713
Be 2.722 -2.199 -1.025
Pt 6.083 -2.283 0.851
Pt 1.707 -1.208 0.837


Record 6
4
Lattice="4.008 -0.029 0.014 2.026 3.459 0.014 1.997 1.135 5.220" Properties=species:S:1:pos:R:3 comment="YBePt2 PBE-GGA relaxed" formation_energy_ev_per_atom=-0.8192 pbc="T T T"
Y 4.014 2.282 2.493
Be 2.011 1.143 0.234
Pt 6.032 3.429 0.718
Pt 6.023 3.424 4.453


Record 7
10
Lattice="-5.160 -1.640 -4.531 2.200 -6.708 -0.077 -2.495 -0.854 3.151" Properties=species:S:1:pos:R:3 comment="Y2BePt2 PBE-GGA relaxed" formation_energy_ev_per_atom=-0.7726 pbc="T T T"
Y -0.648 -5.192 0.758
Y -2.871 -7.098 -1.519
Y -4.807 -4.010 -2.215
Y -2.584 -2.104 0.063
Be 0.000 0.000 0.000
Be -1.480 -4.174 -2.304
Pt 0.043 -6.333 -1.683
Pt -3.007 -5.719 -3.932
Pt -3.003 -2.014 -2.925
Pt 0.047 -2.629 -0.676


Record 8
24
Lattice="3.849 0.000 0.000 0.000 12.168 0.000 0.000 0.000 11.356" Properties=species:S:1:pos:R:3 comment="Y3BePt2 PBE-GGA relaxed" formation_energy_ev_per_atom=-0.9110 pbc="T T T"
Y 0.962 4.608 0.664
Y 2.886 7.559 10.691
Y 2.886 10.692 5.014
Y 0.962 1.475 6.342
Y 0.962 8.556 2.337
Y 2.886 3.612 9.019
Y 2.886 2.472 3.341
Y 0.962 9.696 8.015
Y 0.962 5.452 4.208
Y 2.886 6.716 7.148
Y 2.886 11.536 1.470
Y 0.962 0.632 9.886
Be 0.962 1.679 1.348
Be 2.886 10.488 10.008
Be 2.886 7.763 4.330
Be 0.962 4.404 7.026
Pt 0.962 8.324 5.408
Pt 2.886 3.843 5.948
Pt 2.886 2.240 0.270
Pt 0.962 9.927 11.086
Pt 0.962 0.291 3.489
Pt 2.886 11.877 7.867
Pt 2.886 6.374 2.189
Pt 0.962 5.793 9.167